{"formula": "MgZnCu3", "functional": "PBE", "state": "optimized geometry", "magmom_total_mub_per_fu": 0.000, "formation_energy_ev_per_fu": 2.385, "polymorph_energy_ev_per_fu": 2.61, "cell": [[4.4623, 0.0000, 0.0000], [0.0000, 4.4623, 0.0000], [0.0000, 0.0000, 4.4623]], "species": ["Mg", "Zn", "Cu", "Cu", "Cu"], "fractional_positions": [[0.0000, 0.0000, 0.0000], [0.5000, 0.5000, 0.5000], [0.0000, 0.5000, 0.5000], [0.5000, 0.0000, 0.5000], [0.5000, 0.5000, 0.0000]]}